Compound: P2PtClF
Source: the Alexandria database
Functional: PBE
Structure: relaxed Values from VASP.

```
&SYSTEM
  ibrav = 0, nat = 5, ntyp = 4
/
ATOMIC_SPECIES
P 30.97 P.upf
Pt 195.08 Pt.upf
Cl 35.45 Cl.upf
F 19.00 F.upf
CELL_PARAMETERS angstrom
-0.919 3.110 2.508
-0.552 -2.648 3.081
4.831 0.431 1.236
ATOMIC_POSITIONS crystal
P 0.500 0.000 0.000
P 0.000 0.500 0.000
Pt 0.500 0.500 0.500
Cl 0.000 0.000 0.500
F 0.000 0.000 0.000
```

Calculated values
raw formation energy: 0.806 eV/atom
VASP energy: -3.310 eV per atom
E above lowest polymorph: 40.53 kJ/mol of atoms
N(E_F): 4.4 states/eV per cell
volume: 84 Å³ per cell